[1]
SrTbGaHg | PBE | optimized geometry

Output
The value obtained for the formation energy is -0.43 eV per atom. For the uncorrected energy, the calculation gives -11.4 eV per cell. The crystal system is cubic. Its space-group type is F-43m (216).

extended XYZ file:
```
4
Lattice="-3.1152 -4.3883 -0.0296 1.4117 -4.2823 -2.9379 1.6685 -4.5009 2.4332" Properties=species:S:1:pos:R:3 pbc="T T T"
Sr -0.0175 -6.5858 -0.2672
Tb 0.0000 0.0000 0.0000
Hg -0.0263 -9.8787 -0.4008
Ga -0.0088 -3.2929 -0.1336
```

[2]
La2BeCl | PBE | optimized geometry

Output
For the raw formation energy, the calculation gives -503 meV/atom. For the uncorrected energy, the calculation gives -17.4 eV per cell. The crystal system is orthorhombic. Its space-group type is Imm2 (44). For the energy above the most stable polymorph in this dataset, the calculation gives 184 meV per atom.

extended XYZ file:
```
4
Lattice="8.1202 0.0065 0.0056 6.3790 5.0246 -0.0056 -7.2398 -2.5437 2.6556" Properties=species:S:1:pos:R:3 pbc="T T T"
Be 6.5724 2.2805 0.0000
Cl 2.5373 2.2702 1.3250
La 0.5459 0.1894 0.0000
La 4.8535 0.2628 1.3306
```